Entry 1:
This record from Alexandria via LeMat-Bulk describes crystalline NaAc2Pd at its relaxed geometry. The functional is PBE.

```
NaAc2Pd
1.0
3.843 0.000 0.000
0.000 3.843 0.000
0.000 0.000 9.506
Na Ac Pd
1 2 1
direct
0.000 0.000 0.000
0.500 0.500 0.311
0.500 0.500 0.689
0.000 0.000 0.500
```

Calculated values
The value obtained for the energy above the most stable polymorph in this dataset is 0.034 eV per atom.

***

Entry 2:
This record from Alexandria via LeMat-Bulk describes crystalline NaAc3Pd8 at its relaxed geometry. The functional is PBE.

```
NaAc3Pd8
1.0
2.808 1.621 9.187
-2.808 1.621 9.187
0.000 -3.242 9.187
Na Ac Pd
1 3 8
direct
0.000 0.000 0.000
0.122 0.122 0.122
0.509 0.509 0.509
0.639 0.639 0.639
0.069 0.069 0.566
0.069 0.566 0.069
0.072 0.567 0.567
0.319 0.319 0.319
0.566 0.069 0.069
0.567 0.072 0.567
0.567 0.567 0.072
0.819 0.819 0.819
```

***

Entry 3:
This record from Alexandria via LeMat-Bulk describes crystalline Na2AcPd9 at its relaxed geometry. The functional is PBE.

```
Na2AcPd9
1.0
2.715 1.567 8.914
-2.715 1.567 8.914
0.000 -3.135 8.914
Na Ac Pd
2 1 9
direct
0.146 0.146 0.146
0.854 0.854 0.854
0.000 0.000 0.000
0.083 0.586 0.586
0.333 0.333 0.333
0.414 0.414 0.917
0.414 0.917 0.414
0.500 0.500 0.500
0.586 0.083 0.586
0.586 0.586 0.083
0.667 0.667 0.667
0.917 0.414 0.414
```

***

Number 1: ΔE_f -1.1 eV per formula unit. Number 2: ΔE_f -8.3 eV per formula unit. Number 3: ΔE_f -4.3 eV per formula unit.